# BaZn2CoOs

An optimized crystal structure of BaZn2CoOs (GGA-PBEsol, Alexandria via LeMat-Bulk).

a = 4.552 Å, b = 4.659 Å, c = 4.659 Å
α = 90.00°, β = 90.00°, γ = 90.00°
Sites, in units of the cell vectors:
Co  0.000  0.000  0.000
Zn  0.000  0.000  0.500
Zn  0.000  0.500  0.000
Os  0.500  0.000  0.000
Ba  0.500  0.500  0.500

Computed properties:
The value obtained for the calculated total energy is -22.92 eV per cell. The total magnetization is 0.000 μB/atom.